The following is a PBE with a Hubbard U calculation of a relaxed K3Cr3OsO8 crystal, from Alexandria.

```
15
Lattice="-5.675 2.509 -0.150 2.409 -2.535 -5.130 -2.135 -4.530 4.996" Properties=species:S:1:pos:R:3 pbc="T T T"
K 0.000 0.000 0.000
K 1.205 -1.267 -2.565
K -1.633 -0.013 -2.640
Cr -3.905 -1.010 2.423
Cr -2.700 -2.277 -0.142
Cr 0.137 -3.532 -0.067
Os -1.067 -2.265 2.498
O -0.943 -2.208 -1.230
O -4.457 -2.347 0.946
O -3.790 -0.973 -1.300
O -1.610 -3.582 1.016
O -4.997 0.295 1.267
O -0.403 -4.850 -1.552
O -2.155 -0.962 1.343
O -3.246 -3.593 -1.627
```

Values from the calculation:
SG: R-3m (166)
Energy in eV/atom: -6.74
Crystal system: trigonal
Volume in Å³/atom: 13.565
Total magnetic moment in μB/cell: 11.00